! K2OsCl | the Alexandria database | GGA-PBE | optimized geometry; values from VASP
! E above lowest polymorph: 0.0 kJ/mol of atoms
! Raw formation energy: 272 meV per atom
&SYSTEM
  ibrav = 0, nat = 4, ntyp = 3
/
ATOMIC_SPECIES
K 39.10 K.upf
Os 190.23 Os.upf
Cl 35.45 Cl.upf
CELL_PARAMETERS angstrom
3.109 0.000 0.000
0.000 3.109 0.000
0.000 0.000 9.618
ATOMIC_POSITIONS angstrom
K 0.000 0.000 9.306
K 0.000 0.000 5.121
Os 1.555 1.555 2.404
Cl 1.555 1.555 7.213